# SrAs2Se GGA-PBE optimized geometry
# E (eV/atom): -4.42
# Total moment (μB/atom): 0.0000
# ΔE_f (raw) (eV per formula unit): -3.198
data_SrAs2Se
_space_group_name_H-M_alt 'P 1 m 1'
_space_group_IT_number 6
_cell_length_a 4.596
_cell_length_b 4.024
_cell_length_c 6.371
_cell_angle_alpha 90.00
_cell_angle_beta 97.43
_cell_angle_gamma 90.00
loop_
_space_group_symop_operation_xyz
'x,y,z'
'x,-y,z'
loop_
_atom_site_label
_atom_site_fract_x
_atom_site_fract_y
_atom_site_fract_z
_atom_site_occupancy
Sr1 0.000 0.000 0.000 1
As1 0.007 0.000 0.510 1
As2 0.359 0.500 0.570 1
Se1 0.489 0.500 0.972 1